Compound: HgGeAu2
Source: Alexandria
Functional: GGA-PBE
Structure: relaxed

Properties
Space group: P4/mmm (123)
E in eV/atom: -2.719
Energy above the lowest structure with this stoichiometry in eV/atom: 0.137

Unit cell a=4.138 b=4.361 c=4.361 alpha=90.00 beta=90.00 gamma=90.00
Sites, in units of the cell vectors:
Ge  0.500  0.000  0.000
Au  0.000  0.000  0.500
Au  0.000  0.500  0.000
Hg  0.500  0.500  0.500